# 1
Material: HfNbFeAs
Method: DFT, PBE
State: optimized geometry

Results
* symmetry: F-43m
* distance to the lowest polymorph of the same formula: 0 meV/atom
* total magnetization: 2.02 μB per formula unit

Lattice parameters (Å, degrees): 4.4853 4.4853 4.4853 60.00 60.00 60.00
Atoms (fractional coordinates):
Fe 0.7500 0.7500 0.7500
Nb 0.2500 0.2500 0.2500
As 0.0000 0.0000 0.0000
Hf 0.5000 0.5000 0.5000

---

# 2
Material: GdAlInAu2
Method: DFT, PBE
State: optimized geometry

Results
* symmetry: P4/nmm
* total DFT energy (no corrections): -4.09 eV per atom
* total magnetization: 0.02 μB per formula unit

Lattice parameters (Å, degrees): 4.4043 4.4043 11.2435 90.00 90.00 90.00
Atoms (fractional coordinates):
Al 0.5000 0.5000 0.5000
Al 0.0000 0.0000 0.5000
Au 0.5000 0.5000 0.0000
Au 0.5000 0.0000 0.6175
Au 0.0000 0.0000 0.0000
Au 0.0000 0.5000 0.3825
In 0.0000 0.5000 0.1466
In 0.5000 0.0000 0.8534
Gd 0.5000 0.0000 0.2631
Gd 0.0000 0.5000 0.7369

---

# 3
Material: CsKPd
Method: DFT, PBE
State: optimized geometry

Results
* symmetry: F-43m
* distance to the lowest polymorph of the same formula: 0 meV/atom

Lattice parameters (Å, degrees): 5.7747 5.7747 5.7747 60.00 60.00 60.00
Atoms (fractional coordinates):
Cs 0.2500 0.2500 0.2500
K 0.7500 0.7500 0.7500
Pd 0.0000 0.0000 0.0000